The following is a GGA-PBE calculation of crystalline Ho7Zn2Co2 at its relaxed geometry, from Alexandria.

CIF file:
```
data_Ho7Zn2Co2
_space_group_name_H-M_alt 'P 1'
_space_group_IT_number 1
_space_group_name_Hall 'P 1'
_cell_length_a 6.560
_cell_length_b 6.560
_cell_length_c 6.865
_cell_angle_alpha 90.00
_cell_angle_beta 90.00
_cell_angle_gamma 110.40
loop_
_atom_site_label
_atom_site_fract_x
_atom_site_fract_y
_atom_site_fract_z
_atom_site_occupancy
Ho1 0.000 0.000 0.000 1
Ho2 0.000 0.500 0.252 1
Ho3 0.000 0.500 0.748 1
Ho4 0.500 0.000 0.252 1
Ho5 0.500 0.000 0.748 1
Ho6 0.500 0.500 0.244 1
Ho7 0.500 0.500 0.756 1
Zn1 0.169 0.169 0.500 1
Zn2 0.831 0.831 0.500 1
Co1 0.295 0.705 0.000 1
Co2 0.705 0.295 0.000 1
```

energy relative to the elements = -112 meV/atom
calculated total energy = -4.549 eV per atom



The following is a GGA-PBE calculation of crystalline Dy4HoS4 at its relaxed geometry, from Alexandria.

CIF file:
```
data_Dy4HoS4
_space_group_name_H-M_alt 'P 1'
_space_group_IT_number 1
_space_group_name_Hall 'P 1'
_cell_length_a 5.496
_cell_length_b 6.690
_cell_length_c 6.698
_cell_angle_alpha 80.39
_cell_angle_beta 65.86
_cell_angle_gamma 65.93
loop_
_atom_site_label
_atom_site_fract_x
_atom_site_fract_y
_atom_site_fract_z
_atom_site_occupancy
Dy1 0.103 0.096 0.198 1
Dy2 0.301 0.301 0.596 1
Dy3 0.699 0.699 0.404 1
Dy4 0.897 0.904 0.802 1
Ho1 0.500 0.500 0.000 1
S1 0.200 0.703 0.398 1
S2 0.402 0.899 0.798 1
S3 0.598 0.101 0.202 1
S4 0.800 0.297 0.602 1
```

formation energy without anion corrections = -169.51 kJ/mol of atoms
calculated total energy = -6.145 eV per atom



The following is a GGA-PBE calculation of crystalline Tb3YPu2Te6 at its relaxed geometry, from Alexandria.

CIF file:
```
data_Tb3YPu2Te6
_space_group_name_H-M_alt 'P 1'
_space_group_IT_number 1
_space_group_name_Hall 'P 1'
_cell_length_a 9.827
_cell_length_b 9.827
_cell_length_c 8.813
_cell_angle_alpha 103.29
_cell_angle_beta 103.29
_cell_angle_gamma 25.71
loop_
_atom_site_label
_atom_site_fract_x
_atom_site_fract_y
_atom_site_fract_z
_atom_site_occupancy
Tb1 0.000 0.000 0.000 1
Tb2 0.332 0.332 0.666 1
Tb3 0.668 0.668 0.334 1
Y1 0.000 0.000 0.500 1
Pu1 0.334 0.334 0.167 1
Pu2 0.666 0.666 0.833 1
Te1 0.166 0.166 0.085 1
Te2 0.166 0.166 0.581 1
Te3 0.498 0.498 0.749 1
Te4 0.502 0.502 0.251 1
Te5 0.834 0.834 0.419 1
Te6 0.834 0.834 0.915 1
```

formation energy without anion corrections = -121.67 kJ/mol of atoms
calculated total energy = -6.917 eV per atom



The following is a GGA-PBE calculation of crystalline TbSm4Dy7 at its relaxed geometry, from Alexandria.

CIF file:
```
data_TbSm4Dy7
_space_group_name_H-M_alt 'P 1'
_space_group_IT_number 1
_space_group_name_Hall 'P 1'
_cell_length_a 6.723
_cell_length_b 6.723
_cell_length_c 12.762
_cell_angle_alpha 115.14
_cell_angle_beta 115.14
_cell_angle_gamma 52.14
loop_
_atom_site_label
_atom_site_fract_x
_atom_site_fract_y
_atom_site_fract_z
_atom_site_occupancy
Tb1 0.000 0.000 0.000 1
Sm1 0.138 0.138 0.777 1
Sm2 0.441 0.441 0.673 1
Sm3 0.559 0.559 0.327 1
Sm4 0.862 0.862 0.223 1
Dy1 0.135 0.135 0.503 1
Dy2 0.250 0.250 0.316 1
Dy3 0.288 0.288 0.077 1
Dy4 0.500 0.500 0.000 1
Dy5 0.712 0.712 0.923 1
Dy6 0.750 0.750 0.684 1
Dy7 0.865 0.865 0.497 1
```

distance to the lowest polymorph of the same formula = 184.6 meV per atom
energy relative to the elements = 272 meV/atom
calculated total energy = -4.372 eV per atom



The following is a GGA-PBE calculation of crystalline AsPb2AuS4 at its relaxed geometry, from Alexandria.

CIF file:
```
data_AsPb2AuS4
_space_group_name_H-M_alt 'P 1'
_space_group_IT_number 1
_space_group_name_Hall 'P 1'
_cell_length_a 8.094
_cell_length_b 8.094
_cell_length_c 7.711
_cell_angle_alpha 118.41
_cell_angle_beta 118.41
_cell_angle_gamma 93.20
loop_
_atom_site_label
_atom_site_fract_x
_atom_site_fract_y
_atom_site_fract_z
_atom_site_occupancy
As1 0.000 0.000 0.000 1
As2 0.000 0.000 0.500 1
Pb1 0.000 0.500 0.000 1
Pb2 0.500 0.000 0.500 1
Pb3 0.500 0.500 0.000 1
Pb4 0.500 0.500 0.500 1
Au1 0.000 0.500 0.500 1
Au2 0.500 0.000 0.000 1
S1 0.217 0.224 0.970 1
S2 0.224 0.217 0.470 1
S3 0.236 0.763 0.530 1
S4 0.237 0.764 0.970 1
S5 0.763 0.236 0.030 1
S6 0.764 0.237 0.470 1
S7 0.776 0.783 0.530 1
S8 0.783 0.776 0.030 1
```

formation energy without anion corrections = -11.87 kJ/mol of atoms
calculated total energy = -4.105 eV per atom



The following is a GGA-PBE calculation of crystalline KTi2Os at its relaxed geometry, from Alexandria.

CIF file:
```
data_KTi2Os
_space_group_name_H-M_alt 'P 1'
_space_group_IT_number 1
_space_group_name_Hall 'P 1'
_cell_length_a 4.673
_cell_length_b 4.673
_cell_length_c 4.673
_cell_angle_alpha 60.00
_cell_angle_beta 60.00
_cell_angle_gamma 60.00
loop_
_atom_site_label
_atom_site_fract_x
_atom_site_fract_y
_atom_site_fract_z
_atom_site_occupancy
K1 0.000 0.000 0.000 1
Ti1 0.250 0.250 0.250 1
Ti2 0.750 0.750 0.750 1
Os1 0.500 0.500 0.500 1
```

distance to the lowest polymorph of the same formula = 0.0 meV per atom
energy relative to the elements = 782 meV/atom
calculated total energy = -6.248 eV per atom